SmAlInAu2: optimized geometry, PBE.

```
SmAlInAu2
1.0
4.466 0.000 0.000
0.000 4.466 0.000
0.000 0.000 11.059
Al Au In Sm
2 4 2 2
direct
0.000 0.000 0.500 Al
0.500 0.500 0.500 Al
0.000 0.000 0.000 Au
0.500 0.500 0.000 Au
0.000 0.500 0.385 Au
0.500 0.000 0.615 Au
0.000 0.500 0.145 In
0.500 0.000 0.855 In
0.500 0.000 0.261 Sm
0.000 0.500 0.739 Sm
```

Values from the calculation:
M_tot   0.0 μB/cell
DFT total energy   -4.13 eV per atom

AlInTe4Au2: optimized geometry, PBE.

```
AlInTe4Au2
1.0
7.504 1.098 -1.809
3.096 5.137 4.981
-4.138 -6.501 1.182
Al Au In Te
1 2 1 4
direct
0.750 0.250 0.500 Al
0.000 0.000 0.000 Au
0.250 0.750 0.500 Au
0.500 0.500 0.000 In
0.632 0.119 0.013 Te
0.381 0.368 0.487 Te
0.881 0.894 0.513 Te
0.106 0.619 0.987 Te
```

Values from the calculation:
DFT total energy   -3.47 eV per atom

Zr2AlInAu2: optimized geometry, PBE.

```
Zr2AlInAu2
1.0
11.113 0.000 0.000
0.000 4.535 0.000
-3.712 0.000 10.481
Al Au In Zr
4 8 4 8
direct
0.752 0.000 0.002 Al
0.126 0.500 0.127 Al
0.497 0.000 0.249 Al
0.250 0.000 0.498 Al
0.002 0.000 0.010 Au
0.372 0.500 0.130 Au
0.740 0.000 0.242 Au
0.130 0.500 0.374 Au
0.492 0.000 0.493 Au
0.875 0.500 0.625 Au
0.252 0.000 0.741 Au
0.635 0.500 0.884 Au
0.874 0.500 0.373 In
0.624 0.500 0.626 In
0.002 0.000 0.753 In
0.376 0.500 0.875 In
0.250 0.000 0.001 Zr
0.620 0.500 0.124 Zr
0.000 0.000 0.253 Zr
0.373 0.500 0.374 Zr
0.746 0.000 0.496 Zr
0.126 0.500 0.621 Zr
0.505 0.000 0.751 Zr
0.880 0.500 0.881 Zr
```

Values from the calculation:
M_tot   0.0 μB/cell
DFT total energy   -5.53 eV per atom

AlIrAu2: optimized geometry, PBE.

```
AlIrAu2
1.0
2.176 -3.906 0.600
-1.335 -2.853 3.229
-1.999 -3.889 -1.111
Al Au Ir
1 2 1
direct
0.500 0.500 0.500 Al
0.000 0.000 0.000 Au
0.750 0.750 0.750 Au
0.250 0.250 0.250 Ir
```

Values from the calculation:
M_tot   0.0 μB/cell
DFT total energy   -4.86 eV per atom

Q: Number 1 is which compound?
A: SmAlInAu2

Q: Look up the DFT total energy of the first one.
A: -4.13 eV per atom